Entry 1:
Compound: CaPrOsO6
Source: Alexandria
Functional: PBE-GGA
Structure: optimized geometry

Its density of states at the Fermi level is 4.5 states/eV/f.u. Its total DFT energy (no corrections) is -7.37 eV per atom. The calculation puts the uncorrected formation energy at -2.064 eV per atom.

Cell: 5.7273 5.7273 9.2745 Å, 90.00 90.00 120.00°
Last column: magnetic moment on the atom in μB.
Fractional coordinates of all 18 atoms:
Ca1 0.0000 0.0000 0.0000  0.01
Ca2 0.0000 0.0000 0.5000  0.01
Pr1 0.3333 0.6667 0.2500  0.01
Pr2 0.6667 0.3333 0.7500  0.01
Os1 0.6667 0.3333 0.2500  0.67
Os2 0.3333 0.6667 0.7500  0.67
O1 0.6751 0.6134 0.1340  0.04
O2 0.9383 0.3249 0.1340  0.04
O3 0.3249 0.9383 0.6340  0.04
O4 0.0617 0.6751 0.8660  0.04
O5 0.3866 0.3249 0.3660  0.04
O6 0.9383 0.6134 0.3660  0.04
O7 0.6134 0.9383 0.8660  0.04
O8 0.6751 0.0617 0.3660  0.04
O9 0.0617 0.3866 0.6340  0.04
O10 0.3866 0.0617 0.1340  0.04
O11 0.6134 0.6751 0.6340  0.04
O12 0.3249 0.3866 0.8660  0.04

Entry 2:
Compound: AlReAsBr2
Source: Alexandria
Functional: PBE-GGA
Structure: optimized geometry

Its density of states at the Fermi level is 1.7 states/eV/f.u. The value obtained for the offset from the most stable computed form is 438 meV/atom. Its total DFT energy (no corrections) is -3.84 eV per atom. The calculation puts the uncorrected formation energy at 0.996 eV per atom.

Cell: 4.8661 4.8661 5.3245 Å, 90.00 90.00 90.00°
Last column: magnetic moment on the atom in μB.
Fractional coordinates of all 5 atoms:
Re1 0.5000 0.5000 0.5000  3.94
As1 0.0000 0.0000 0.5000  -0.15
Al1 0.0000 0.0000 0.0000  0.01
Br1 0.0000 0.5000 0.0000  0.05
Br2 0.5000 0.0000 0.0000  0.05

Entry 3:
Compound: ErSnPt6
Source: Alexandria
Functional: PBE-GGA
Structure: optimized geometry

Its density of states at the Fermi level is 7.5 states/eV/f.u. Its total DFT energy (no corrections) is -6.33 eV per atom. As for the formation energy: -0.731 eV/atom.

Cell: 4.0810 4.0810 8.1555 Å, 90.00 90.00 90.00°
Fractional coordinates of all 8 atoms:
Er1 0.0000 0.0000 0.0000
Sn1 0.0000 0.0000 0.5000
Pt1 0.5000 0.5000 0.0000
Pt2 0.5000 0.5000 0.5000
Pt3 0.5000 0.0000 0.2529
Pt4 0.5000 0.0000 0.7471
Pt5 0.0000 0.5000 0.2529
Pt6 0.0000 0.5000 0.7471

Entry 4:
Compound: HoPaPt2
Source: Alexandria
Functional: PBE-GGA
Structure: optimized geometry

Its density of states at the Fermi level is 3.2 states/eV/f.u. The value obtained for the offset from the most stable computed form is 0 meV/atom. Its total DFT energy (no corrections) is -7.57 eV per atom. As for the formation energy: -1.033 eV/atom.

Cell: 3.9766 3.9766 7.3496 Å, 74.30 74.30 60.00°
Fractional coordinates of all 4 atoms:
Ho1 0.4971 0.4971 0.5088
Pa1 0.6687 0.6687 0.9940
Pt1 0.0807 0.0807 0.7579
Pt2 0.2536 0.2536 0.2392